LuGeSb2: relaxed, GGA-PBE.

abc: 5.2232 5.2232 5.2232
angles: 60.00 60.00 60.00
With the nearest neighbours (Å) after each atom.
Fractional coordinates of all 4 atoms:
Lu1 0.0000 0.0000 0.0000  4 Ge 3.20, 4 Sb 3.20
Ge1 0.7500 0.7500 0.7500  4 Sb 3.20, 4 Lu 3.20
Sb1 0.2500 0.2500 0.2500  4 Sb 3.20, 4 Lu 3.20
Sb2 0.5000 0.5000 0.5000  4 Ge 3.20, 4 Sb 3.20

Results
Symmetry: No. 216
Raw total energy (eV/atom): -4.40
V (Å³/f.u.): 100.76
Total moment (μB/cell): 0.01


LuScGe2: relaxed, GGA-PBE.

abc: 4.9256 4.9256 4.9256
angles: 60.00 60.00 60.00
With the nearest neighbours (Å) after each atom.
Fractional coordinates of all 4 atoms:
Lu1 0.0000 0.0000 0.0000  4 Ge 3.02, 4 Sc 3.02
Sc1 0.7500 0.7500 0.7500  4 Ge 3.02, 4 Lu 3.02
Ge1 0.2500 0.2500 0.2500  4 Ge 3.02, 4 Lu 3.02
Ge2 0.5000 0.5000 0.5000  4 Sc 3.02, 4 Ge 3.02

Results
Symmetry: No. 216
Raw total energy (eV/atom): -5.04
V (Å³/f.u.): 84.50
Total moment (μB/cell): 0.01